No. 1
Density functional theory data (meta-GGA SCAN) for CdAu2F12 at its PBEsol-relaxed geometry. Values from VASP.

Computed properties:
V ... 14.20 A^3/atom
E_tot ... -15.37 eV per atom
Total moment ... 0.0 μB per formula unit
ΔE_f (raw) ... -1288 meV per atom
Crystal system ... monoclinic

```
&SYSTEM
  ibrav = 0, nat = 30, ntyp = 3
/
ATOMIC_SPECIES
Cd 112.41 Cd.upf
Au 196.97 Au.upf
F 19.00 F.upf
CELL_PARAMETERS angstrom
7.215 0.175 0.022
-1.509 7.057 -0.022
-3.474 -3.126 8.320
ATOMIC_POSITIONS crystal
Cd 0.021 0.771 0.250
Cd 0.979 0.229 0.750
Au 0.393 0.243 0.650
Au 0.907 0.256 0.150
Au 0.607 0.757 0.350
Au 0.093 0.744 0.850
F 0.931 0.909 0.765
F 0.069 0.091 0.235
F 0.234 0.965 0.512
F 0.470 0.286 0.488
F 0.702 0.018 0.988
F 0.140 0.312 0.575
F 0.763 0.435 0.075
F 0.356 0.834 0.265
F 0.884 0.495 0.688
F 0.953 0.722 0.988
F 0.766 0.035 0.488
F 0.047 0.278 0.012
F 0.773 0.242 0.286
F 0.860 0.688 0.425
F 0.116 0.505 0.312
F 0.237 0.565 0.925
F 0.694 0.805 0.188
F 0.456 0.488 0.214
F 0.306 0.195 0.812
F 0.227 0.758 0.714
F 0.544 0.512 0.786
F 0.298 0.982 0.012
F 0.644 0.166 0.735
F 0.530 0.714 0.512
```

No. 2
Density functional theory data (meta-GGA SCAN) for TaMnCo2 at its PBEsol-relaxed geometry. Values from VASP.

Computed properties:
V ... 11.92 A^3/atom
E_tot ... -29.96 eV per atom
Energy of formation ... -0.10 eV per atom
Total moment ... 2.1 μB per formula unit
Polymorph energy (0 for the lowest one) ... 24.0 kJ per mole of atoms
Crystal system ... tetragonal

```
&SYSTEM
  ibrav = 0, nat = 4, ntyp = 3
/
ATOMIC_SPECIES
Mn 54.94 Mn.upf
Co 58.93 Co.upf
Ta 180.95 Ta.upf
CELL_PARAMETERS angstrom
3.561 0.000 0.000
0.000 3.660 0.000
0.000 0.000 3.660
ATOMIC_POSITIONS crystal
Mn 0.500 0.500 0.500
Co 0.000 0.000 0.500
Co 0.000 0.500 0.000
Ta 0.500 0.000 0.000
```

No. 3
Density functional theory data (meta-GGA SCAN) for ZrHgAs2 at its PBEsol-relaxed geometry. Values from VASP.

Computed properties:
V ... 20.13 A^3/atom
E_tot ... -35.26 eV per atom
Energy of formation ... -0.45 eV per atom
Total moment ... 0.0 μB per formula unit
Crystal system ... tetragonal

```
&SYSTEM
  ibrav = 0, nat = 4, ntyp = 3
/
ATOMIC_SPECIES
As 74.92 As.upf
Hg 200.59 Hg.upf
Zr 91.22 Zr.upf
CELL_PARAMETERS angstrom
-1.858 -3.143 -0.927
3.205 -1.964 0.235
-1.024 -1.014 5.489
ATOMIC_POSITIONS crystal
As 0.000 0.000 0.933
As 0.500 0.500 0.315
Hg 0.000 0.000 0.459
Zr 0.500 0.500 0.794
```